{"formula": "LaNbB4", "functional": "PBE", "state": "optimized geometry", "lattice_angstrom": [[3.158, 0.000, 0.000], [-1.579, 2.735, 0.000], [0.000, 0.000, 7.799]], "species": ["B", "B", "B", "B", "La", "Nb"], "frac_coords": [[0.667, 0.333, 0.213], [0.333, 0.667, 0.213], [0.667, 0.333, 0.787], [0.333, 0.667, 0.787], [0.000, 0.000, 0.500], [0.000, 0.000, 0.000]], "final_energy_ev_per_fu": -45.219, "mass_density_g_cm3": 6.782, "magnetic_moment_mub_per_fu": 0.001}